# K3Np2HgTe6, optimized geometry, DFT GGA-PBE
data_K3Np2HgTe6
_cell_length_a 7.910
_cell_length_b 13.710
_cell_length_c 8.527
_cell_angle_alpha 90.00
_cell_angle_beta 107.81
_cell_angle_gamma 90.00
_space_group_name_H-M_alt 'C 1 2/m 1'
_space_group_IT_number 12
loop_
_space_group_symop_operation_xyz
'x,y,z'
'-x,-y,-z'
'-x,y,-z'
'x,-y,z'
'x+1/2,y+1/2,z'
'-x+1/2,-y+1/2,-z'
'-x+1/2,y+1/2,-z'
'x+1/2,-y+1/2,z'
loop_
_atom_site_label
_atom_site_fract_x
_atom_site_fract_y
_atom_site_fract_z
K1 0.000 0.000 0.000
K2 0.000 0.338 0.000
Np1 0.000 0.168 0.500
Hg1 0.000 0.500 0.500
Te1 0.228 0.000 0.703
Te2 0.241 0.328 0.707
# density of states at the Fermi level: 30.600 states/eV/cell
# calculated total energy: -4.764 eV/atom